# 1
Density functional theory data (GGA-PBE) for an optimized crystal structure of PrThRuI.

```
PrThRuI
1.0
2.075 1.198 8.317
-2.075 1.198 8.317
0.000 -2.397 8.317
Pr Th Ru I
1 1 1 1
direct
0.000 0.000 0.000
0.788 0.788 0.788
0.402 0.402 0.402
0.230 0.230 0.230
```

Properties
Energy relative to the elements, uncorrected in eV/atom: -0.730

# 2
Density functional theory data (GGA-PBE) for an optimized crystal structure of Pr6TlRu2I3.

```
Pr6TlRu2I3
1.0
3.736 -6.470 0.000
3.736 6.470 0.000
-2.493 0.000 8.236
Pr Tl Ru I
6 1 2 3
direct
0.065 0.435 0.806
0.194 0.194 0.192
0.435 0.065 0.806
0.565 0.935 0.194
0.806 0.806 0.808
0.935 0.565 0.194
0.500 0.500 0.000
0.167 0.833 0.000
0.833 0.167 0.000
0.000 0.000 0.500
0.338 0.662 0.500
0.662 0.338 0.500
```

Properties
Energy relative to the elements, uncorrected in eV/atom: -0.654

# 3
Density functional theory data (GGA-PBE) for an optimized crystal structure of Pr6ZnRu2I3.

```
Pr6ZnRu2I3
1.0
3.678 -6.370 0.000
3.678 6.370 0.000
-2.448 0.000 8.226
Pr Zn Ru I
6 1 2 3
direct
0.081 0.437 0.810
0.207 0.207 0.189
0.437 0.081 0.810
0.563 0.919 0.190
0.793 0.793 0.811
0.919 0.563 0.190
0.500 0.500 0.000
0.167 0.833 0.000
0.833 0.167 0.000
0.000 0.000 0.500
0.335 0.665 0.500
0.665 0.335 0.500
```

Properties
Energy relative to the elements, uncorrected in eV/atom: -0.649

# 4
Density functional theory data (GGA-PBE) for an optimized crystal structure of Pr4S6I.

```
Pr4S6I
1.0
8.796 0.000 0.000
-4.398 7.618 0.000
0.000 0.000 4.096
Pr S I
4 6 1
direct
0.000 0.000 0.000
0.026 0.513 0.500
0.487 0.513 0.500
0.487 0.974 0.500
0.210 0.420 0.000
0.210 0.790 0.000
0.276 0.138 0.500
0.580 0.790 0.000
0.862 0.138 0.500
0.862 0.724 0.500
0.667 0.333 0.000
```

Properties
Energy relative to the elements, uncorrected in eV/atom: -1.725

# 5
Density functional theory data (GGA-PBE) for an optimized crystal structure of Pr7SI12.

```
Pr7SI12
1.0
8.056 4.651 3.563
-8.056 4.651 3.563
0.000 -9.302 3.563
Pr S I
7 1 12
direct
0.000 0.000 0.000
0.194 0.395 0.464
0.395 0.464 0.194
0.464 0.194 0.395
0.536 0.806 0.605
0.605 0.536 0.806
0.806 0.605 0.536
0.500 0.500 0.500
0.027 0.349 0.110
0.110 0.027 0.349
0.187 0.728 0.578
0.272 0.422 0.813
0.349 0.110 0.027
0.422 0.813 0.272
0.578 0.187 0.728
0.651 0.890 0.973
0.728 0.578 0.187
0.813 0.272 0.422
0.890 0.973 0.651
0.973 0.651 0.890
```

Properties
Energy relative to the elements, uncorrected in eV/atom: -1.427

# 6
Density functional theory data (GGA-PBE) for an optimized crystal structure of PrSI.

```
PrSI
1.0
0.000 6.952 4.518
6.152 0.000 4.518
6.152 6.952 0.000
Pr S I
4 4 4
direct
0.192 0.808 0.339
0.589 0.911 0.442
0.808 0.192 0.661
0.911 0.589 0.058
0.133 0.906 0.630
0.620 0.919 0.117
0.906 0.133 0.331
0.919 0.620 0.344
0.397 0.987 0.844
0.406 0.478 0.853
0.478 0.406 0.263
0.987 0.397 0.772
```

Properties
Energy relative to the elements, uncorrected in eV/atom: -1.743

# 7
Density functional theory data (GGA-PBE) for an optimized crystal structure of PrSI.

```
PrSI
1.0
-1.922 1.922 5.960
1.922 -1.922 5.960
1.922 1.922 -5.960
Pr S I
1 1 1
direct
0.000 0.000 0.000
0.587 0.587 0.000
0.307 0.307 0.000
```

Properties
Energy relative to the elements, uncorrected in eV/atom: -1.489

# 8
Density functional theory data (GGA-PBE) for an optimized crystal structure of PrSI.

```
PrSI
1.0
6.350 0.000 0.000
0.000 4.502 0.000
-2.527 0.000 7.391
Pr S I
2 2 2
direct
0.135 0.250 0.231
0.865 0.750 0.769
0.237 0.750 0.071
0.763 0.250 0.929
0.278 0.750 0.582
0.722 0.250 0.418
```

Properties
Energy relative to the elements, uncorrected in eV/atom: -1.702

# 9
Density functional theory data (GGA-PBE) for an optimized crystal structure of Pr4SI5.

```
Pr4SI5
1.0
9.733 -2.124 0.000
9.733 2.124 0.000
-2.060 0.000 8.800
Pr S I
4 1 5
direct
0.002 0.002 0.294
0.356 0.356 0.432
0.644 0.644 0.568
0.998 0.998 0.706
0.500 0.500 0.500
0.165 0.165 0.840
0.173 0.173 0.316
0.500 0.500 0.000
0.827 0.827 0.684
0.835 0.835 0.160
```

Properties
Energy relative to the elements, uncorrected in eV/atom: -1.443

# 10
Density functional theory data (GGA-PBE) for an optimized crystal structure of Pr2S2I.

```
Pr2S2I
1.0
7.264 0.000 0.000
2.846 6.820 0.000
1.424 3.383 6.547
Pr S I
4 4 2
direct
0.015 0.388 0.293
0.481 0.821 0.293
0.519 0.179 0.707
0.985 0.612 0.707
0.252 0.249 0.006
0.253 0.554 0.384
0.747 0.446 0.616
0.748 0.751 0.994
0.247 0.910 0.686
0.753 0.090 0.314
```

Properties
Energy relative to the elements, uncorrected in eV/atom: -1.758

# 11
Density functional theory data (GGA-PBE) for an optimized crystal structure of PrSI.

```
PrSI
1.0
4.380 0.000 0.000
-2.190 3.793 0.000
0.000 0.000 7.211
Pr S I
1 1 1
direct
0.000 0.000 0.000
0.333 0.667 0.156
0.667 0.333 0.703
```

Properties
Energy relative to the elements, uncorrected in eV/atom: -1.715

# 12
Density functional theory data (GGA-PBE) for an optimized crystal structure of Pr3S12I5.

```
Pr3S12I5
1.0
-8.814 8.814 8.814
8.814 -8.814 8.814
8.814 8.814 -8.814
Pr S I
12 48 20
direct
0.125 0.250 0.375
0.125 0.375 0.750
0.250 0.375 0.125
0.250 0.875 0.625
0.375 0.125 0.250
0.375 0.750 0.125
0.625 0.250 0.875
0.625 0.875 0.750
0.750 0.125 0.375
0.750 0.625 0.875
0.875 0.625 0.250
0.875 0.750 0.625
0.080 0.763 0.662
0.080 0.816 0.418
0.082 0.684 0.420
0.082 0.899 0.662
0.101 0.263 0.184
0.101 0.338 0.918
0.162 0.263 0.580
0.162 0.399 0.582
0.184 0.101 0.263
0.184 0.582 0.920
0.237 0.338 0.920
0.237 0.399 0.316
0.263 0.184 0.101
0.263 0.580 0.162
0.316 0.237 0.399
0.316 0.580 0.918
0.338 0.918 0.101
0.338 0.920 0.237
0.399 0.316 0.237
0.399 0.582 0.162
0.418 0.080 0.816
0.418 0.838 0.601
0.420 0.082 0.684
0.420 0.838 0.737
0.580 0.162 0.263
0.580 0.918 0.316
0.582 0.162 0.399
0.582 0.920 0.184
0.601 0.418 0.838
0.601 0.684 0.763
0.662 0.080 0.763
0.662 0.082 0.899
0.684 0.420 0.082
0.684 0.763 0.601
0.737 0.420 0.838
0.737 0.816 0.899
0.763 0.601 0.684
0.763 0.662 0.080
0.816 0.418 0.080
0.816 0.899 0.737
0.838 0.601 0.418
0.838 0.737 0.420
0.899 0.662 0.082
0.899 0.737 0.816
0.918 0.101 0.338
0.918 0.316 0.580
0.920 0.184 0.582
0.920 0.237 0.338
0.000 0.000 0.000
0.000 0.000 0.500
0.000 0.500 0.000
0.000 0.500 0.500
0.125 0.750 0.875
0.125 0.875 0.250
0.250 0.125 0.875
0.250 0.625 0.375
0.375 0.250 0.625
0.375 0.625 0.750
0.500 0.000 0.000
0.500 0.000 0.500
0.500 0.500 0.000
0.500 0.500 0.500
0.625 0.375 0.250
0.625 0.750 0.375
0.750 0.375 0.625
0.750 0.875 0.125
0.875 0.125 0.750
0.875 0.250 0.125
```

Properties
Energy relative to the elements, uncorrected in eV/atom: -0.497

# 13
Density functional theory data (GGA-PBE) for an optimized crystal structure of Pr3SI7.

```
Pr3SI7
1.0
9.025 0.000 0.000
-4.513 7.816 0.000
0.000 0.000 7.707
Pr S I
3 1 7
direct
0.018 0.509 0.000
0.491 0.509 0.000
0.491 0.982 0.000
0.333 0.667 0.841
0.167 0.334 0.246
0.167 0.833 0.246
0.340 0.170 0.775
0.666 0.833 0.246
0.667 0.333 0.244
0.830 0.170 0.775
0.830 0.660 0.775
```

Properties
Energy relative to the elements, uncorrected in eV/atom: -1.493

# 14
Density functional theory data (GGA-PBE) for an optimized crystal structure of PrSI.

```
PrSI
1.0
7.144 0.000 0.000
0.000 14.551 0.000
0.000 0.000 7.345
Pr S I
8 8 8
direct
0.243 0.083 0.029
0.243 0.417 0.529
0.257 0.583 0.029
0.257 0.917 0.529
0.743 0.083 0.471
0.743 0.417 0.971
0.757 0.583 0.471
0.757 0.917 0.971
0.001 0.022 0.742
0.001 0.478 0.242
0.499 0.522 0.742
0.499 0.978 0.242
0.501 0.022 0.758
0.501 0.478 0.258
0.999 0.522 0.758
0.999 0.978 0.258
0.166 0.703 0.400
0.166 0.797 0.900
0.334 0.203 0.400
0.334 0.297 0.900
0.666 0.703 0.100
0.666 0.797 0.600
0.834 0.203 0.100
0.834 0.297 0.600
```

Properties
Energy relative to the elements, uncorrected in eV/atom: -1.778

# 15
Density functional theory data (GGA-PBE) for an optimized crystal structure of Pr6SeS2I3.

```
Pr6SeS2I3
1.0
3.709 -6.431 0.000
3.709 6.431 0.000
-2.477 0.000 7.591
Pr Se S I
6 1 2 3
direct
0.092 0.438 0.814
0.216 0.216 0.185
0.438 0.092 0.814
0.562 0.908 0.186
0.784 0.784 0.815
0.908 0.562 0.186
0.500 0.500 0.000
0.167 0.833 0.000
0.833 0.167 0.000
0.000 0.000 0.500
0.335 0.665 0.500
0.665 0.335 0.500
```

Properties
Energy relative to the elements, uncorrected in eV/atom: -1.432

# 16
Density functional theory data (GGA-PBE) for an optimized crystal structure of Pr8SeS3I4.

```
Pr8SeS3I4
1.0
4.287 2.475 7.537
-4.287 2.475 7.537
0.000 -4.950 7.537
Pr Se S I
8 1 3 4
direct
0.217 0.734 0.734
0.228 0.228 0.228
0.266 0.266 0.783
0.266 0.783 0.266
0.734 0.217 0.734
0.734 0.734 0.217
0.772 0.772 0.772
0.783 0.266 0.266
0.500 0.500 0.500
0.000 0.000 0.500
0.000 0.500 0.000
0.500 0.000 0.000
0.000 0.000 0.000
0.000 0.500 0.500
0.500 0.000 0.500
0.500 0.500 0.000
```

Properties
Energy relative to the elements, uncorrected in eV/atom: -1.444

# 17
Density functional theory data (GGA-PBE) for an optimized crystal structure of Pr6Si2SI3.

```
Pr6Si2SI3
1.0
3.717 -6.439 0.000
3.717 6.439 0.000
-2.480 0.000 7.817
Pr Si S I
6 2 1 3
direct
0.064 0.396 0.193
0.267 0.267 0.807
0.396 0.064 0.193
0.604 0.936 0.807
0.733 0.733 0.193
0.936 0.604 0.807
0.334 0.666 0.000
0.666 0.334 0.000
0.000 0.000 0.000
0.169 0.831 0.500
0.500 0.500 0.500
0.831 0.169 0.500
```

Properties
Energy relative to the elements, uncorrected in eV/atom: -1.162

# 18
Density functional theory data (GGA-PBE) for an optimized crystal structure of Pr8Si3SI3.

```
Pr8Si3SI3
1.0
7.452 -4.298 0.000
7.452 4.298 0.000
-4.973 0.000 7.623
Pr Si S I
8 3 1 3
direct
0.233 0.735 0.703
0.234 0.234 0.702
0.265 0.265 0.297
0.265 0.767 0.297
0.735 0.233 0.703
0.735 0.735 0.703
0.766 0.766 0.298
0.767 0.265 0.297
0.000 0.000 0.500
0.000 0.500 0.500
0.500 0.000 0.500
0.500 0.500 0.500
0.000 0.500 0.000
0.500 0.000 0.000
0.500 0.500 0.000
```

Properties
Energy relative to the elements, uncorrected in eV/atom: -0.973